Density functional theory data (GGA-PBE) for crystalline SrAgMo2 at its relaxed geometry.

Computed properties:
magnetization = 0.00 μB per formula unit
formation energy = 0.994 eV/atom
calculated volume = 166 Å³ per cell
relative energy among the computed polymorphs = 0.541 eV per atom
D(E_F) = 9.92 states/eV per cell

Cell: 3.9824 3.9824 10.4684 Å, 90.00 90.00 90.00°
Last column: nearest neighbours and their distance in Å.
Space group I4/mmm (No. 139)
Symmetry-distinct sites (fractional):
Sr  0.0000  0.0000  0.0000 x2  4 Ag 2.82
Ag  0.0000  0.0000  0.5000 x2  4 Sr 2.82
Mo  0.0000  0.5000  0.2500 x4  4 Mo 2.82

=====

Density functional theory data (GGA-PBE) for crystalline Sr2AgMo at its relaxed geometry.

Computed properties:
magnetization = 3.25 μB per formula unit
formation energy = 0.681 eV/atom
calculated volume = 479 Å³ per cell
relative energy among the computed polymorphs = 0.095 eV per atom
D(E_F) = 9.09 states/eV per cell

Cell: 7.8258 7.8258 7.8258 Å, 90.00 90.00 90.00°
Last column: nearest neighbours and their distance in Å.
Space group Fm-3m (No. 225)
Symmetry-distinct sites (fractional):
Sr  0.2500  0.2500  0.2500 x8  4 Mo 3.39, 4 Ag 3.39
Ag  0.0000  0.0000  0.0000 x4  8 Sr 3.39
Mo  0.0000  0.0000  0.5000 x4  8 Sr 3.39

=====

Density functional theory data (GGA-PBE) for crystalline SrAgMo2 at its relaxed geometry.

Computed properties:
magnetization = 0.00 μB per formula unit
formation energy = 1.046 eV/atom
calculated volume = 400 Å³ per cell
relative energy among the computed polymorphs = 0.593 eV per atom
D(E_F) = 12.37 states/eV per cell

Cell: 4.3609 4.3609 21.0450 Å, 90.00 90.00 90.00°
Last column: nearest neighbours and their distance in Å.
Space group I-42d (No. 122)
Symmetry-distinct sites (fractional):
Sr  0.0000  0.0000  0.0000 x4  4 Ag 3.08, 4 Mo 3.35
Ag  0.0000  0.0000  0.5000 x4  4 Mo 2.88, 4 Sr 3.08
Mo  0.0961  0.2500  0.6250 x8  2 Mo 2.34

=====

Density functional theory data (GGA-PBE) for crystalline Sr2AgMo at its relaxed geometry.

Computed properties:
magnetization = 1.77 μB per formula unit
formation energy = 0.816 eV/atom
calculated volume = 350 Å³ per cell
relative energy among the computed polymorphs = 0.230 eV per atom
D(E_F) = 10.25 states/eV per cell

Cell: 3.6909 3.6909 29.6625 Å, 90.00 90.00 120.00°
Last column: nearest neighbours and their distance in Å.
Space group R-3m (No. 166, hexagonal axes)
Symmetry-distinct sites (fractional):
Sr  0.0000  0.0000  0.2479 x6  3 Mo 3.22, 3 Ag 3.31
Ag  0.0000  0.0000  0.0000 x3  6 Sr 3.31, 6 Ag 3.69
Mo  0.0000  0.0000  0.5000 x3  6 Sr 3.22

=====

Density functional theory data (GGA-PBE) for crystalline SrAgMo3 at its relaxed geometry.

Computed properties:
magnetization = 0.00 μB per formula unit
formation energy = 2.990 eV/atom
calculated volume = 109 Å³ per cell
relative energy among the computed polymorphs = 0.848 eV per atom
D(E_F) = 8.26 states/eV per cell

Cell: 4.7725 4.7725 4.7725 Å, 90.00 90.00 90.00°
Last column: nearest neighbours and their distance in Å.
Space group Pm-3m (No. 221)
Symmetry-distinct sites (fractional):
Sr  0.0000  0.0000  0.0000 x1  6 Mo 2.39
Ag  0.5000  0.5000  0.5000 x1  12 Mo 3.37
Mo  0.0000  0.0000  0.5000 x3  2 Sr 2.39

=====

Density functional theory data (GGA-PBE) for crystalline SrAg2Mo at its relaxed geometry.

Computed properties:
magnetization = 3.24 μB per formula unit
formation energy = 0.738 eV/atom
calculated volume = 359 Å³ per cell
relative energy among the computed polymorphs = 0.191 eV per atom
D(E_F) = 10.22 states/eV per cell

Cell: 7.1074 7.1074 7.1074 Å, 90.00 90.00 90.00°
Last column: nearest neighbours and their distance in Å.
Space group F-43m (No. 216)
Symmetry-distinct sites (fractional):
Sr  0.0000  0.0000  0.0000 x4  4 Mo 3.08, 4 Ag 3.08
Ag  0.0000  0.0000  0.5000 x4  4 Ag 3.08, 4 Mo 3.08
Ag  0.2500  0.2500  0.2500 x4  4 Sr 3.08, 4 Ag 3.08
Mo  0.2500  0.2500  0.7500 x4  4 Ag 3.08, 4 Sr 3.08

=====

Density functional theory data (GGA-PBE) for crystalline Sr2AgMo at its relaxed geometry.

Computed properties:
magnetization = 3.21 μB per formula unit
formation energy = 0.632 eV/atom
calculated volume = 236 Å³ per cell
relative energy among the computed polymorphs = 0.046 eV per atom
D(E_F) = 3.61 states/eV per cell

Cell: 7.8538 7.8625 3.8272 Å, 90.00 90.00 90.00°
Last column: nearest neighbours and their distance in Å.
Space group Cmmm (No. 65)
Symmetry-distinct sites (fractional):
Sr  0.2500  0.2500  0.0000 x4  4 Mo 3.37, 4 Ag 3.37
Ag  0.0000  0.0000  0.5000 x2  8 Sr 3.37
Mo  0.0000  0.5000  0.5000 x2  8 Sr 3.37

=====

Density functional theory data (GGA-PBE) for crystalline SrAgMo2 at its relaxed geometry.

Computed properties:
magnetization = 0.00 μB per formula unit
formation energy = 1.106 eV/atom
calculated volume = 232 Å³ per cell
relative energy among the computed polymorphs = 0.653 eV per atom
D(E_F) = 14.03 states/eV per cell

Cell: 2.8899 2.8899 32.1190 Å, 90.00 90.00 120.00°
Last column: nearest neighbours and their distance in Å.
Space group R-3m (No. 166, hexagonal axes)
Symmetry-distinct sites (fractional):
Sr  0.0000  0.0000  0.0000 x3  6 Sr 2.89
Ag  0.0000  0.0000  0.5000 x3  6 Ag 2.89, 6 Mo 2.94
Mo  0.0000  0.0000  0.2419 x6  6 Mo 2.89, 3 Ag 2.94

=====

Density functional theory data (GGA-PBE) for crystalline Sr2AgMo at its relaxed geometry.

Computed properties:
magnetization = 3.50 μB per formula unit
formation energy = 0.908 eV/atom
calculated volume = 497 Å³ per cell
relative energy among the computed polymorphs = 0.322 eV per atom
D(E_F) = 15.64 states/eV per cell

Cell: 8.6305 8.6305 6.6719 Å, 90.00 90.00 90.00°
Last column: nearest neighbours and their distance in Å.
Space group I-42d (No. 122)
Symmetry-distinct sites (fractional):
Sr  0.2355  0.2500  0.1250 x8  2 Ag 3.08, 2 Mo 3.25, 2 Sr 3.35
Ag  0.0000  0.0000  0.0000 x4  4 Sr 3.08, 2 Mo 3.34
Mo  0.0000  0.0000  0.5000 x4  4 Sr 3.25, 2 Ag 3.34

=====

Density functional theory data (GGA-PBE) for crystalline SrAg2Mo at its relaxed geometry.

Computed properties:
magnetization = 0.00 μB per formula unit
formation energy = 0.571 eV/atom
calculated volume = 83 Å³ per cell
relative energy among the computed polymorphs = 0.024 eV per atom
D(E_F) = 2.13 states/eV per cell

Cell: 2.9897 2.9897 9.2339 Å, 90.00 90.00 90.00°
Last column: nearest neighbours and their distance in Å.
Space group P4mm (No. 99)
Symmetry-distinct sites (fractional):
Sr  0.0000  0.0000  0.0000 x1  4 Sr 2.99, 4 Mo 3.32
Ag  0.0000  0.0000  0.5055 x1  4 Mo 2.91, 8 Ag 2.94-2.99
Ag  0.5000  0.5000  0.2849 x1  8 Ag 2.94-2.99
Mo  0.5000  0.5000  0.7227 x1  4 Ag 2.91, 4 Mo 2.99

=====

Density functional theory data (GGA-PBE) for crystalline Sr2AgMo at its relaxed geometry.

Computed properties:
magnetization = 2.86 μB per formula unit
formation energy = 0.645 eV/atom
calculated volume = 125 Å³ per cell
relative energy among the computed polymorphs = 0.059 eV per atom
D(E_F) = 3.71 states/eV per cell

Cell: 3.7494 3.7494 8.8706 Å, 90.00 90.00 90.00°
Last column: nearest neighbours and their distance in Å.
Space group P4mm (No. 99)
Symmetry-distinct sites (fractional):
Sr  0.0000  0.0000  0.0000 x1  1 Ag 3.24, 4 Mo 3.41
Sr  0.5000  0.5000  0.3969 x1  1 Mo 3.21, 4 Ag 3.39
Ag  0.0000  0.0000  0.6347 x1  4 Mo 2.87
Mo  0.5000  0.5000  0.7589 x1  4 Ag 2.87, 1 Sr 3.21

=====

Density functional theory data (GGA-PBE) for crystalline SrAg2Mo at its relaxed geometry.

Computed properties:
magnetization = 1.07 μB per formula unit
formation energy = 0.624 eV/atom
calculated volume = 169 Å³ per cell
relative energy among the computed polymorphs = 0.077 eV per atom
D(E_F) = 6.63 states/eV per cell

Cell: 11.1534 2.9538 5.4271 Å, 90.00 109.37 90.00°
Last column: nearest neighbours and their distance in Å.
Space group Cm (No. 8)
Symmetry-distinct sites (fractional):
Sr  0.0000  0.0000  0.0000 x2  2 Sr 2.95, 7 Ag 3.03-3.15
Ag  0.0192  0.5000  0.5019 x2  4 Ag 2.94-2.95, 3 Mo 2.97-3.12, 4 Sr 3.04-3.15
Ag  0.2385  0.0000  0.8484 x2  4 Ag 2.94-2.95, 3 Sr 3.03-3.13, 4 Mo 3.03-3.20
Mo  0.2763  0.5000  0.3914 x2  2 Mo 2.95, 7 Ag 2.97-3.20

=====

Please write out number 2 again, unchanged.
Density functional theory data (GGA-PBE) for crystalline Sr2AgMo at its relaxed geometry.

Computed properties:
magnetization = 3.25 μB per formula unit
formation energy = 0.681 eV/atom
calculated volume = 479 Å³ per cell
relative energy among the computed polymorphs = 0.095 eV per atom
D(E_F) = 9.09 states/eV per cell

Cell: 7.8258 7.8258 7.8258 Å, 90.00 90.00 90.00°
Last column: nearest neighbours and their distance in Å.
Space group Fm-3m (No. 225)
Symmetry-distinct sites (fractional):
Sr  0.2500  0.2500  0.2500 x8  4 Mo 3.39, 4 Ag 3.39
Ag  0.0000  0.0000  0.0000 x4  8 Sr 3.39
Mo  0.0000  0.0000  0.5000 x4  8 Sr 3.39

=====

Question: Look up the calculated volume of the ninth one.
Answer: 497 Å³ per cell